Entry 1:
First-principles (PBE) data for crystalline La6Sb3Se2I at its relaxed geometry, as listed in the Alexandria database. Values from VASP.

Properties
Uncorrected formation energy: -1.4893 eV per atom
E_tot: -68.32 eV/cell
DOS(E_F): 0.500 states/eV per atom
Total moment: 0.000 μB per atom

```
&SYSTEM
  ibrav = 0, nat = 12, ntyp = 4
/
ATOMIC_SPECIES
La 138.91 La.upf
Sb 121.76 Sb.upf
Se 78.96 Se.upf
I 126.90 I.upf
CELL_PARAMETERS angstrom
9.803 -2.267 0.000
9.803 2.267 0.000
-1.882 0.000 8.813
ATOMIC_POSITIONS crystal
La 0.007 0.007 0.266
La 0.326 0.326 0.902
La 0.330 0.330 0.422
La 0.670 0.670 0.578
La 0.674 0.674 0.098
La 0.993 0.993 0.734
Sb 0.161 0.161 0.834
Sb 0.500 0.500 0.500
Sb 0.839 0.839 0.166
Se 0.169 0.169 0.335
Se 0.831 0.831 0.665
I 0.500 0.500 0.000
```

---

Entry 2:
First-principles (PBE) data for crystalline La6Sb2Se3I at its relaxed geometry, as listed in the Alexandria database. Values from VASP.

Properties
Uncorrected formation energy: -1.6083 eV per atom
E_tot: -69.11 eV/cell
DOS(E_F): 0.512 states/eV per atom
Total moment: 0.000 μB per atom

```
&SYSTEM
  ibrav = 0, nat = 12, ntyp = 4
/
ATOMIC_SPECIES
La 138.91 La.upf
Sb 121.76 Sb.upf
Se 78.96 Se.upf
I 126.90 I.upf
CELL_PARAMETERS angstrom
9.756 -2.227 0.000
9.756 2.227 0.000
-2.139 0.000 8.711
ATOMIC_POSITIONS crystal
La 0.004 0.004 0.223
La 0.323 0.323 0.422
La 0.335 0.335 0.909
La 0.665 0.665 0.091
La 0.677 0.677 0.578
La 0.996 0.996 0.777
Sb 0.165 0.165 0.829
Sb 0.835 0.835 0.171
Se 0.165 0.165 0.333
Se 0.500 0.500 0.000
Se 0.835 0.835 0.667
I 0.500 0.500 0.500
```

---

Entry 3:
First-principles (PBE) data for crystalline La4Sb2SeI at its relaxed geometry, as listed in the Alexandria database. Values from VASP.

Properties
Uncorrected formation energy: -1.4057 eV per atom
E_tot: -44.24 eV/cell
DOS(E_F): 0.623 states/eV per atom
Total moment: 0.000 μB per atom

```
&SYSTEM
  ibrav = 0, nat = 8, ntyp = 4
/
ATOMIC_SPECIES
La 138.91 La.upf
Sb 121.76 Sb.upf
Se 78.96 Se.upf
I 126.90 I.upf
CELL_PARAMETERS angstrom
7.757 0.000 0.000
0.000 4.555 0.000
-2.669 0.000 7.511
ATOMIC_POSITIONS crystal
La 0.244 0.000 0.232
La 0.253 0.500 0.765
La 0.747 0.500 0.235
La 0.756 0.000 0.768
Sb 0.000 0.000 0.500
Sb 0.000 0.500 0.000
Se 0.500 0.000 0.000
I 0.500 0.500 0.500
```

---

Entry 4:
First-principles (PBE) data for crystalline LaSbSeI2 at its relaxed geometry, as listed in the Alexandria database. Values from VASP.

Properties
Uncorrected formation energy: -0.0995 eV per atom
E_tot: -16.13 eV/cell
DOS(E_F): 1.069 states/eV per atom
Total moment: 0.316 μB per atom
Polymorph energy (0 for the lowest one): 3.2 kJ per mole of atoms

```
&SYSTEM
  ibrav = 0, nat = 5, ntyp = 4
/
ATOMIC_SPECIES
La 138.91 La.upf
Sb 121.76 Sb.upf
Se 78.96 Se.upf
I 126.90 I.upf
CELL_PARAMETERS angstrom
6.097 0.000 0.000
0.000 6.097 0.000
0.000 0.000 6.644
ATOMIC_POSITIONS crystal
La 0.000 0.000 0.000
Sb 0.000 0.000 0.500
Se 0.500 0.500 0.500
I 0.000 0.500 0.000
I 0.500 0.000 0.000
```